An optimized crystal structure of Fe2OsAu. Source: Alexandria via LeMat-Bulk, functional PBE.

abc: 3.9810 3.9810 3.5695
angles: 90.00 90.00 90.00
Positions (direct):
Fe  0.0000  0.5000  0.0000
Fe  0.5000  0.0000  0.0000
Os  0.0000  0.0000  0.5000
Au  0.5000  0.5000  0.5000

Summary:
E in eV/f.u.: -30.0
Formation energy in eV/atom: 0.3619
SG: P4/mmm
Fermi-level density of states in states/eV/f.u.: 4.97
Offset from the most stable computed form in meV/atom: 160

An optimized crystal structure of Ge2Pb2I. Source: Alexandria via LeMat-Bulk, functional PBE.

abc: 9.1636 9.1636 3.5806
angles: 90.00 90.00 90.00
Positions (direct):
Ge  0.0981  0.4019  0.0000
Ge  0.4019  0.9019  0.0000
Ge  0.5981  0.0981  0.0000
Ge  0.9019  0.5981  0.0000
Pb  0.1952  0.6952  0.5000
Pb  0.3048  0.1952  0.5000
Pb  0.6952  0.8048  0.5000
Pb  0.8048  0.3048  0.5000
I  0.0000  0.0000  0.5000
I  0.5000  0.5000  0.5000

Summary:
E in eV/f.u.: -17.3
SG: P4/mbm
Fermi-level density of states in states/eV/f.u.: 2.00
Offset from the most stable computed form in meV/atom: 214

Q: What is the E in the second record?
A: -17.3 eV/f.u.